The following is a PBE-GGA calculation of a relaxed Cs2OsCl5 crystal, from Alexandria via LeMat-Bulk.

Unit cell a=7.6101 b=7.6101 c=9.9232 alpha=90.00 beta=90.00 gamma=90.00
Last column: nearest neighbours and their distance in Å.
Fractional coordinates of all 16 atoms:
Cs: 0.0000 0.5000 0.0000  10 Cl 3.67-3.81
Cs: 0.0000 0.5000 0.5000  10 Cl 3.67-3.81
Cs: 0.5000 0.0000 0.0000  10 Cl 3.67-3.81
Cs: 0.5000 0.0000 0.5000  10 Cl 3.67-3.81
Os: 0.0000 0.0000 0.2337  5 Cl 2.29-2.36
Os: 0.5000 0.5000 0.7337  5 Cl 2.29-2.36
Cl: 0.0000 0.0000 0.0031  1 Os 2.29
Cl: 0.2192 0.2192 0.2502  1 Os 2.36
Cl: 0.2192 0.7808 0.2502  1 Os 2.36
Cl: 0.2808 0.2808 0.7502  1 Os 2.36
Cl: 0.2808 0.7192 0.7502  1 Os 2.36
Cl: 0.5000 0.5000 0.5031  1 Os 2.29
Cl: 0.7192 0.2808 0.7502  1 Os 2.36
Cl: 0.7192 0.7192 0.7502  1 Os 2.36
Cl: 0.7808 0.2192 0.2502  1 Os 2.36
Cl: 0.7808 0.7808 0.2502  1 Os 2.36

Results
Energy: -61.51 eV per cell
Raw formation energy: -1073 meV per atom
Density of states at the Fermi level: 1.066 states/eV/atom